(1)
Here is a relaxed KCaCd10 crystal from Alexandria via LeMat-Bulk. Energies are from PBE-GGA.

Structure (POSCAR):
```
KCaCd10
1.0
4.904 0.000 0.000
0.000 6.067 0.000
0.000 0.000 10.492
K Ca Cd
1 1 10
Direct
0.000 0.000 0.000
0.000 0.500 0.500
0.000 0.000 0.338
0.000 0.000 0.662
0.000 0.500 0.172
0.000 0.500 0.828
0.500 0.000 0.500
0.500 0.256 0.260
0.500 0.256 0.740
0.500 0.500 0.000
0.500 0.744 0.260
0.500 0.744 0.740
```

calculated volume: 26.01 Å³ per atom
density: 6.40 g/cm3
SG: Pmmm, No. 47
formation enthalpy at 0 K: -2.498 kcal/mol of atoms


(2)
Here is a relaxed K2CaCd crystal from Alexandria via LeMat-Bulk. Energies are from PBE-GGA.

Structure (POSCAR):
```
K2CaCd
1.0
4.057 0.000 0.000
0.000 5.063 0.000
0.000 0.000 19.834
K Ca Cd
4 2 2
Direct
0.000 0.000 0.161
0.000 0.000 0.839
0.500 0.500 0.339
0.500 0.500 0.661
0.000 0.500 0.000
0.500 0.000 0.500
0.000 0.500 0.500
0.500 0.000 0.000
```

calculated volume: 50.93 Å³ per atom
density: 1.88 g/cm3
SG: Immm, No. 71
formation enthalpy at 0 K: 0.002 kcal/mol of atoms